Below is crystalline Cu2P2O7 at its relaxed geometry, with properties calculated at the PBE level.

- ΔE to the lowest computed polymorph: 0.0 meV/atom
- Energy relative to the elements, uncorrected: -1.5753 eV per atom

Lattice parameters (Å, degrees): 5.4584 5.4584 9.3864 104.01 104.01 97.49
With the nearest neighbours (Å) after each atom.
Fractional positions:
1 Cu 0.1614 0.7884 0.5085  4 O 1.92-2.01
2 Cu 0.2116 0.8386 0.9915  4 O 1.92-2.01
3 Cu 0.7884 0.1614 0.0085  4 O 1.92-2.01
4 Cu 0.8386 0.2116 0.4915  4 O 1.92-2.01
5 P 0.2997 0.3224 0.2927  4 O 1.51-1.61
6 P 0.3224 0.2997 0.7927  4 O 1.51-1.61
7 P 0.6776 0.7003 0.2073  4 O 1.51-1.61
8 P 0.7003 0.6776 0.7073  4 O 1.51-1.61
9 O 0.1250 0.4357 0.3858  1 P 1.53
10 O 0.1288 0.1304 0.1374  1 P 1.56
11 O 0.1304 0.1288 0.6374  1 P 1.56
12 O 0.1905 0.4895 0.8763  1 P 1.51
13 O 0.4357 0.1250 0.8858  1 P 1.53
14 O 0.4389 0.5611 0.2500  2 P 1.61
15 O 0.4895 0.1905 0.3763  1 P 1.51
16 O 0.5105 0.8095 0.6237  1 P 1.51
17 O 0.5611 0.4389 0.7500  2 P 1.61
18 O 0.5643 0.8750 0.1142  1 P 1.53
19 O 0.8095 0.5105 0.1237  1 P 1.51
20 O 0.8696 0.8712 0.3626  1 P 1.56
21 O 0.8712 0.8696 0.8626  1 P 1.56
22 O 0.8750 0.5643 0.6142  1 P 1.53


Below is crystalline BeAsPb2 at its relaxed geometry, with properties calculated at the PBE level.

- ΔE to the lowest computed polymorph: 340.8 meV/atom

Lattice parameters (Å, degrees): 4.9437 4.9437 3.9218 90.50 90.50 95.81
With the nearest neighbours (Å) after each atom.
Fractional positions:
1 Be 0.0000 0.0000 0.0000  8 Pb 3.14-3.17, 2 As 3.31
2 As 0.5000 0.5000 0.0000  8 Pb 3.14-3.17, 2 Be 3.31
3 Pb 0.0000 0.5000 0.5000  4 As 3.14-3.17, 4 Be 3.14-3.17, 2 Pb 3.31
4 Pb 0.5000 0.0000 0.5000  4 As 3.14-3.17, 4 Be 3.14-3.17, 2 Pb 3.31


Below is crystalline CsAsIrBr2 at its relaxed geometry, with properties calculated at the PBE level.

- Energy relative to the elements, uncorrected: -0.3864 eV per atom

Lattice parameters (Å, degrees): 5.6705 5.6705 4.6233 90.00 90.00 90.00
With the nearest neighbours (Å) after each atom.
Fractional positions:
1 Cs 0.0000 0.0000 0.0000  8 Br 3.66, 4 As 4.01
2 As 0.5000 0.5000 0.0000  2 Ir 2.31
3 Ir 0.5000 0.5000 0.5000  2 As 2.31
4 Br 0.0000 0.5000 0.5000  2 Ir 2.84
5 Br 0.5000 0.0000 0.5000  2 Ir 2.84


Below is crystalline NaHo3 at its relaxed geometry, with properties calculated at the PBE level.

- ΔE to the lowest computed polymorph: 2.7 meV/atom

Lattice parameters (Å, degrees): 5.6016 5.6016 5.6016 60.00 60.00 60.00
With the nearest neighbours (Å) after each atom.
Fractional positions:
1 Na 0.0000 0.0000 0.0000  8 Ho 3.43
2 Ho 0.2500 0.2500 0.2500  4 Ho 3.43, 4 Na 3.43
3 Ho 0.5000 0.5000 0.5000  8 Ho 3.43
4 Ho 0.7500 0.7500 0.7500  4 Ho 3.43, 4 Na 3.43


Below is crystalline Si3BOs at its relaxed geometry, with properties calculated at the PBE level.

- ΔE to the lowest computed polymorph: 400.3 meV/atom
- Energy relative to the elements, uncorrected: 1.2705 eV per atom

Lattice parameters (Å, degrees): 4.6100 4.6100 4.6100 90.00 90.00 90.00
With the nearest neighbours (Å) after each atom.
Fractional positions:
1 Si 0.0000 0.0000 0.5000  2 Os 2.30
2 Si 0.0000 0.5000 0.0000  2 Os 2.30
3 Si 0.5000 0.0000 0.0000  2 Os 2.30
4 B 0.5000 0.5000 0.5000  12 Si 3.26
5 Os 0.0000 0.0000 0.0000  6 Si 2.30


Below is crystalline BaCd2InAg at its relaxed geometry, with properties calculated at the PBE level.

- ΔE to the lowest computed polymorph: 167.9 meV/atom

Lattice parameters (Å, degrees): 5.3780 5.3780 5.3749 90.00 90.00 90.00
With the nearest neighbours (Å) after each atom.
Fractional positions:
1 Ba 0.0000 0.0000 0.0000  8 Cd 3.80, 4 In 3.80
2 Cd 0.0000 0.5000 0.5000  2 Ag 2.69
3 Cd 0.5000 0.0000 0.5000  2 Ag 2.69
4 In 0.5000 0.5000 0.0000  2 Ag 2.69
5 Ag 0.5000 0.5000 0.5000  2 In 2.69, 4 Cd 2.69